(1)
A plane-wave DFT calculation with PBE+U was carried out for a relaxed structure of RuW2F2.

The density of states at the Fermi level is 0.781 states/eV per atom. The value obtained for the total energy is -5.23 eV/atom.

Geometry as CIF:
```
data_RuW2F2
_chemical_formula_sum 'Ru2 W4 F4'
_cell_length_a 7.618
_cell_length_b 7.618
_cell_length_c 3.133
_cell_angle_alpha 90.00
_cell_angle_beta 90.00
_cell_angle_gamma 90.00
_symmetry_space_group_name_H-M 'P 4/m b m'
_symmetry_Int_Tables_number 127
_symmetry_space_group_name_Hall '-P 4 2ab'
loop_
_atom_site_label
_atom_site_type_symbol
_atom_site_fract_x
_atom_site_fract_y
_atom_site_fract_z
Ru1 Ru 0.000 0.000 0.000
W1 W 0.239 0.261 0.000
F1 F 0.108 0.392 0.500
```


(2)
A plane-wave DFT calculation with PBE+U was carried out for a relaxed structure of CrSe2F.

The density of states at the Fermi level is 0.731 states/eV per atom. The value obtained for the total energy is -3.96 eV/atom.

Geometry as CIF:
```
data_CrSe2F
_chemical_formula_sum 'Cr3 Se6 F3'
_cell_length_a 3.0041
_cell_length_b 3.0041
_cell_length_c 27.5153
_cell_angle_alpha 90.00
_cell_angle_beta 90.00
_cell_angle_gamma 120.00
_symmetry_space_group_name_H-M 'R -3 m'
_symmetry_Int_Tables_number 166
_symmetry_space_group_name_Hall '-R 3 2"'
loop_
_atom_site_label
_atom_site_type_symbol
_atom_site_fract_x
_atom_site_fract_y
_atom_site_fract_z
Cr1 Cr 0.0000 0.0000 0.0000
Se1 Se 0.0000 0.0000 0.0934
F1 F 0.0000 0.0000 0.5000
```